w) Here is a relaxed structure of W2AuS2 from Alexandria via LeMat-Bulk. Energies are from PBE-GGA.

Its mass density is 13.78 Mg/m³.

The structure belongs to space group P4/mbm (No. 127); the cell edges are 7.314, 7.314 and 2.833 Å and the angles 90.00°, 90.00° and 90.00°. The inequivalent atoms are W at (0.166, 0.334, 0.000), Au at (0.000, 0.000, 0.500) and S at (0.131, 0.631, 0.500).



x) Here is a relaxed structure of W2AuS2 from Alexandria via LeMat-Bulk. Energies are from PBE-GGA.

Its mass density is 12.46 Mg/m³.

The structure belongs to space group I4/mmm (No. 139); the cell edges are 4.287, 4.287 and 9.120 Å and the angles 90.00°, 90.00° and 90.00°. The inequivalent atoms are W at (0.000, 0.500, 0.250), Au at (0.000, 0.000, 0.000) and S at (0.000, 0.000, 0.362).



Tell me which of them is the most stable. Sure, it is x).



w) Here is a relaxed structure of W3AuS from Alexandria via LeMat-Bulk. Energies are from PBE-GGA.

Its mass density is 11.19 Mg/m³.

The structure belongs to space group Pm-3m (No. 221); the cell edges are 4.874, 4.874 and 4.874 Å and the angles 90.00°, 90.00° and 90.00°. The inequivalent atoms are W at (0.000, 0.000, 0.500), Au at (0.000, 0.000, 0.000) and S at (0.500, 0.500, 0.500).



x) Here is a relaxed structure of W3AuS from Alexandria via LeMat-Bulk. Energies are from PBE-GGA.

Its mass density is 15.02 Mg/m³.

The structure belongs to space group Pm-3m (No. 221); the cell edges are 4.419, 4.419 and 4.419 Å and the angles 90.00°, 90.00° and 90.00°. The inequivalent atoms are W at (0.000, 0.000, 0.500), Au at (0.500, 0.500, 0.500) and S at (0.000, 0.000, 0.000).



Tell me which of them is the most stable. Sure, it is x).



w) Here is a relaxed structure of Y2AuS2 from Alexandria via LeMat-Bulk. Energies are from PBE-GGA.

Its mass density is 7.05 Mg/m³.

The structure belongs to space group P4/mbm (No. 127); the cell edges are 7.721, 7.721 and 3.468 Å and the angles 90.00°, 90.00° and 90.00°. The inequivalent atoms are Y at (0.164, 0.336, 0.000), Au at (0.000, 0.000, 0.500) and S at (0.136, 0.636, 0.500).



x) Here is a relaxed structure of Y2AuS2 from Alexandria via LeMat-Bulk. Energies are from PBE-GGA.

Its mass density is 5.73 Mg/m³.

The structure belongs to space group I4/mmm (No. 139); the cell edges are 5.050, 5.050 and 9.979 Å and the angles 90.00°, 90.00° and 90.00°. The inequivalent atoms are Y at (0.000, 0.500, 0.250), Au at (0.000, 0.000, 0.000) and S at (0.000, 0.000, 0.339).



Tell me which of them is the most stable. Sure, it is w).



w) Here is a relaxed structure of YAuS3 from Alexandria via LeMat-Bulk. Energies are from PBE-GGA.

Its mass density is 4.41 Mg/m³.

The structure belongs to space group Pm-3m (No. 221); the cell edges are 5.238, 5.238 and 5.238 Å and the angles 90.00°, 90.00° and 90.00°. The inequivalent atoms are Y at (0.000, 0.000, 0.000), Au at (0.500, 0.500, 0.500) and S at (0.000, 0.000, 0.500).



x) Here is a relaxed structure of YAuS3 from Alexandria via LeMat-Bulk. Energies are from PBE-GGA.

Its mass density is 5.75 Mg/m³.

The structure belongs to space group Pm-3m (No. 221); the cell edges are 4.797, 4.797 and 4.797 Å and the angles 90.00°, 90.00° and 90.00°. The inequivalent atoms are Y at (0.000, 0.000, 0.000), Au at (0.500, 0.500, 0.500) and S at (0.000, 0.500, 0.500).



Tell me which of them is the most stable. Sure, it is x).



w) Here is a relaxed structure of Zr3AuS from Alexandria via LeMat-Bulk. Energies are from PBE-GGA.

Its mass density is 8.24 Mg/m³.

The structure belongs to space group Pnma (No. 62); the cell edges are 8.086, 3.676 and 13.633 Å and the angles 90.00°, 90.00° and 90.00°. The inequivalent atoms are Zr at (0.026, 0.250, 0.109), Zr at (0.156, 0.250, 0.522), Zr at (0.188, 0.750, 0.282), Au at (0.087, 0.750, 0.680) and S at (0.171, 0.250, 0.945).



x) Here is a relaxed structure of Zr3AuS from Alexandria via LeMat-Bulk. Energies are from PBE-GGA.

Its mass density is 7.62 Mg/m³.

The structure belongs to space group Pm-3m (No. 221); the cell edges are 4.784, 4.784 and 4.784 Å and the angles 90.00°, 90.00° and 90.00°. The inequivalent atoms are Zr at (0.000, 0.000, 0.500), Au at (0.500, 0.500, 0.500) and S at (0.000, 0.000, 0.000).



Tell me which of them is the most stable. Sure, it is w).



w) Here is a relaxed structure of ZrAuS3 from Alexandria via LeMat-Bulk. Energies are from PBE-GGA.

Its mass density is 5.18 Mg/m³.

The structure belongs to space group Pm-3m (No. 221); the cell edges are 4.975, 4.975 and 4.975 Å and the angles 90.00°, 90.00° and 90.00°. The inequivalent atoms are Zr at (0.000, 0.000, 0.000), Au at (0.500, 0.500, 0.500) and S at (0.000, 0.000, 0.500).



x) Here is a relaxed structure of ZrAuS3 from Alexandria via LeMat-Bulk. Energies are from PBE-GGA.

Its mass density is 5.99 Mg/m³.

The structure belongs to space group Pm-3m (No. 221); the cell edges are 4.742, 4.742 and 4.742 Å and the angles 90.00°, 90.00° and 90.00°. The inequivalent atoms are Zr at (0.000, 0.000, 0.000), Au at (0.500, 0.500, 0.500) and S at (0.000, 0.500, 0.500).



Tell me which of them is the most stable. Sure, it is w).



w) Here is a relaxed structure of Sb3Au from Alexandria via LeMat-Bulk. Energies are from PBE-GGA.

Its mass density is 8.82 Mg/m³.

The structure belongs to space group Cmmm (No. 65); the cell edges are 5.978, 8.389 and 4.220 Å and the angles 90.00°, 90.00° and 90.00°. The inequivalent atoms are Sb at (0.000, 0.000, 0.000), Sb at (0.000, 0.275, 0.500) and Au at (0.000, 0.500, 0.000).



x) Here is a relaxed structure of Sb3Au from Alexandria via LeMat-Bulk. Energies are from PBE-GGA.

Its mass density is 8.58 Mg/m³.

The structure belongs to space group P6_3/mmc (No. 194); the cell edges are 8.1014, 8.1014 and 3.8281 Å and the angles 90.00°, 90.00° and 120.00°. The inequivalent atoms are Sb at (0.1802, 0.3604, 0.2500) and Au at (0.3333, 0.6667, 0.7500).



y) Here is a relaxed structure of Sb3Au from Alexandria via LeMat-Bulk. Energies are from PBE-GGA.

Its mass density is 5.64 Mg/m³.

The structure belongs to space group Pm-3m (No. 221); the cell edges are 5.490, 5.490 and 5.490 Å and the angles 90.00°, 90.00° and 90.00°. The inequivalent atoms are Sb at (0.000, 0.000, 0.500) and Au at (0.000, 0.000, 0.000).



Tell me which of them is the most stable. Sure, it is w).